Record 1
A plane-wave DFT calculation with PBE-GGA was carried out for a relaxed Li5SbS4 crystal.

```
data_Li5SbS4
_chemical_formula_sum 'Li40 Sb8 S32'
_symmetry_space_group_name_H-M 'P 42/n m c'
_symmetry_Int_Tables_number 137
_cell_length_a 16.469
_cell_length_b 16.469
_cell_length_c 5.923
_cell_angle_alpha 90.00
_cell_angle_beta 90.00
_cell_angle_gamma 90.00
loop_
_symmetry_equiv_pos_as_xyz
'x,y,z'
'-x,-y,-z'
'-y+1/2,x,z+1/2'
'y+1/2,-x,-z+1/2'
'-x+1/2,-y+1/2,z'
'x+1/2,y+1/2,-z'
'y,-x+1/2,z+1/2'
'-y,x+1/2,-z+1/2'
'x+1/2,-y,-z'
'-x+1/2,y,z'
'-y,-x,-z+1/2'
'y,x,z+1/2'
'-x,y+1/2,-z'
'x,-y+1/2,z'
'y+1/2,x+1/2,-z+1/2'
'-y+1/2,-x+1/2,z+1/2'
loop_
_atom_site_label
_atom_site_type_symbol
_atom_site_fract_x
_atom_site_fract_y
_atom_site_fract_z
Li1 Li 0.012 0.512 0.250
Li2 Li 0.112 0.137 0.187
Li3 Li 0.122 0.622 0.750
Li4 Li 0.250 0.250 0.161
Li5 Li 0.250 0.750 0.250
Li6 Li 0.250 0.750 0.750
Sb1 Sb 0.018 0.750 0.286
S1 S 0.009 0.116 0.472
S2 S 0.130 0.250 0.907
S3 S 0.130 0.750 0.980
```

## Properties
Total energy, eV per atom: -4.00
Total magnetization, μB per formula unit: 0.00
Mass density, g cm⁻³: 2.355
Energy relative to the elements, uncorrected, eV per atom: -0.98
ΔE to the lowest computed polymorph, eV per atom: 0.0364

***

Record 2
A plane-wave DFT calculation with PBE-GGA was carried out for a relaxed Li7Sb2S2 crystal.

```
data_Li7Sb2S2
_chemical_formula_sum 'Li14 Sb4 S4'
_symmetry_space_group_name_H-M 'P -1'
_symmetry_Int_Tables_number 2
_cell_length_a 5.714
_cell_length_b 8.815
_cell_length_c 8.842
_cell_angle_alpha 78.18
_cell_angle_beta 84.27
_cell_angle_gamma 86.12
loop_
_symmetry_equiv_pos_as_xyz
'x,y,z'
'-x,-y,-z'
loop_
_atom_site_label
_atom_site_type_symbol
_atom_site_fract_x
_atom_site_fract_y
_atom_site_fract_z
Li1 Li 0.002 0.065 0.126
Li2 Li 0.010 0.751 0.304
Li3 Li 0.034 0.136 0.414
Li4 Li 0.151 0.628 0.988
Li5 Li 0.467 0.378 0.828
Li6 Li 0.480 0.823 0.557
Li7 Li 0.493 0.970 0.843
Sb1 Sb 0.136 0.556 0.611
Sb2 Sb 0.256 0.343 0.181
S1 S 0.237 0.036 0.637
S2 S 0.268 0.845 0.080
```

## Properties
Total energy, eV per atom: -3.61
Total magnetization, μB per formula unit: 0.00
Mass density, g cm⁻³: 2.731
Energy relative to the elements, uncorrected, eV per atom: -0.89
ΔE to the lowest computed polymorph, eV per atom: 0.0000

***

Record 3
A plane-wave DFT calculation with PBE-GGA was carried out for a relaxed Li3SbS3 crystal.

```
data_Li3SbS3
_chemical_formula_sum 'Li12 Sb4 S12'
_symmetry_space_group_name_H-M 'P n a 21'
_symmetry_Int_Tables_number 33
_cell_length_a 8.048
_cell_length_b 6.831
_cell_length_c 10.189
_cell_angle_alpha 90.00
_cell_angle_beta 90.00
_cell_angle_gamma 90.00
loop_
_symmetry_equiv_pos_as_xyz
'x,y,z'
'-x,-y,z+1/2'
'-x+1/2,y+1/2,z+1/2'
'x+1/2,-y+1/2,z'
loop_
_atom_site_label
_atom_site_type_symbol
_atom_site_fract_x
_atom_site_fract_y
_atom_site_fract_z
Li1 Li 0.062 0.045 0.000
Li2 Li 0.089 0.345 0.457
Li3 Li 0.245 0.376 0.157
Sb1 Sb 0.237 0.396 0.774
S1 S 0.037 0.142 0.264
S2 S 0.157 0.697 0.457
S3 S 0.177 0.705 0.080
```

## Properties
Total energy, eV per atom: -4.14
Total magnetization, μB per formula unit: 0.00
Mass density, g cm⁻³: 2.831
Energy relative to the elements, uncorrected, eV per atom: -0.96
ΔE to the lowest computed polymorph, eV per atom: 0.0000

***

Record 4
A plane-wave DFT calculation with PBE-GGA was carried out for a relaxed Li3SbS3 crystal.

```
data_Li3SbS3
_chemical_formula_sum 'Li9 Sb3 S9'
_symmetry_space_group_name_H-M 'R 3 m'
_symmetry_Int_Tables_number 160
_symmetry_space_group_name_Hall 'R 3 -2"'
_cell_length_a 10.7456
_cell_length_b 10.7456
_cell_length_c 4.2551
_cell_angle_alpha 90.00
_cell_angle_beta 90.00
_cell_angle_gamma 120.00
loop_
_atom_site_label
_atom_site_type_symbol
_atom_site_fract_x
_atom_site_fract_y
_atom_site_fract_z
Li1 Li 0.1883 0.3766 0.0000
Sb1 Sb 0.0000 0.0000 0.7694
S1 S 0.0995 0.5497 0.1643
```

## Properties
Total energy, eV per atom: -4.10
Total magnetization, μB per formula unit: 0.00
Mass density, g cm⁻³: 2.796
Energy relative to the elements, uncorrected, eV per atom: -0.92
ΔE to the lowest computed polymorph, eV per atom: 0.0357

***

Record 5
A plane-wave DFT calculation with PBE-GGA was carried out for a relaxed Li5SbS4 crystal.

```
data_Li5SbS4
_chemical_formula_sum 'Li40 Sb8 S32'
_symmetry_space_group_name_H-M 'P b c a'
_symmetry_Int_Tables_number 61
_cell_length_a 9.568
_cell_length_b 12.539
_cell_length_c 12.712
_cell_angle_alpha 90.00
_cell_angle_beta 90.00
_cell_angle_gamma 90.00
loop_
_symmetry_equiv_pos_as_xyz
'x,y,z'
'-x,-y,-z'
'-x+1/2,-y,z+1/2'
'x+1/2,y,-z+1/2'
'x+1/2,-y+1/2,-z'
'-x+1/2,y+1/2,z'
'-x,y+1/2,-z+1/2'
'x,-y+1/2,z+1/2'
loop_
_atom_site_label
_atom_site_type_symbol
_atom_site_fract_x
_atom_site_fract_y
_atom_site_fract_z
Li1 Li 0.024 0.177 0.170
Li2 Li 0.122 0.605 0.873
Li3 Li 0.156 0.640 0.096
Li4 Li 0.167 0.121 0.382
Li5 Li 0.176 0.100 0.626
Sb1 Sb 0.041 0.120 0.876
S1 S 0.025 0.527 0.217
S2 S 0.028 0.213 0.515
S3 S 0.205 0.016 0.987
S4 S 0.226 0.224 0.770
```

## Properties
Total energy, eV per atom: -4.03
Total magnetization, μB per formula unit: 0.00
Mass density, g cm⁻³: 2.480
Energy relative to the elements, uncorrected, eV per atom: -1.01
ΔE to the lowest computed polymorph, eV per atom: 0.0084

***

Record 6
A plane-wave DFT calculation with PBE-GGA was carried out for a relaxed Li7Sb2S2 crystal.

```
data_Li7Sb2S2
_chemical_formula_sum 'Li14 Sb4 S4'
_symmetry_space_group_name_H-M 'P -1'
_symmetry_Int_Tables_number 2
_cell_length_a 5.698
_cell_length_b 8.895
_cell_length_c 9.886
_cell_angle_alpha 67.34
_cell_angle_beta 77.06
_cell_angle_gamma 75.60
loop_
_symmetry_equiv_pos_as_xyz
'x,y,z'
'-x,-y,-z'
loop_
_atom_site_label
_atom_site_type_symbol
_atom_site_fract_x
_atom_site_fract_y
_atom_site_fract_z
Li1 Li 0.053 0.437 0.371
Li2 Li 0.059 0.941 0.378
Li3 Li 0.106 0.256 0.169
Li4 Li 0.153 0.116 0.943
Li5 Li 0.295 0.649 0.020
Li6 Li 0.398 0.741 0.700
Li7 Li 0.425 0.078 0.628
Sb1 Sb 0.247 0.433 0.865
Sb2 Sb 0.389 0.630 0.377
S1 S 0.151 0.921 0.838
S2 S 0.234 0.151 0.406
```

## Properties
Total energy, eV per atom: -3.59
Total magnetization, μB per formula unit: 0.00
Mass density, g cm⁻³: 2.669
Energy relative to the elements, uncorrected, eV per atom: -0.87
ΔE to the lowest computed polymorph, eV per atom: 0.0209

***

Record 7
A plane-wave DFT calculation with PBE-GGA was carried out for a relaxed Li3SbS4 crystal.

```
data_Li3SbS4
_chemical_formula_sum 'Li12 Sb4 S16'
_symmetry_space_group_name_H-M 'C 1 c 1'
_symmetry_Int_Tables_number 9
_cell_length_a 12.397
_cell_length_b 8.054
_cell_length_c 6.909
_cell_angle_alpha 90.00
_cell_angle_beta 90.52
_cell_angle_gamma 90.00
loop_
_symmetry_equiv_pos_as_xyz
'x,y,z'
'x,-y,z+1/2'
'x+1/2,y+1/2,z'
'x+1/2,-y+1/2,z+1/2'
loop_
_atom_site_label
_atom_site_type_symbol
_atom_site_fract_x
_atom_site_fract_y
_atom_site_fract_z
Li1 Li 0.000 0.100 0.000
Li2 Li 0.069 0.370 0.249
Li3 Li 0.338 0.116 0.290
Sb1 Sb 0.266 0.344 0.831
S1 S 0.096 0.348 0.604
S2 S 0.184 0.175 0.074
S3 S 0.384 0.163 0.645
S4 S 0.474 0.325 0.160
```

## Properties
Total energy, eV per atom: -4.09
Total magnetization, μB per formula unit: 0.00
Mass density, g cm⁻³: 2.608
Energy relative to the elements, uncorrected, eV per atom: -0.79
ΔE to the lowest computed polymorph, eV per atom: 0.0597

***

Record 8
A plane-wave DFT calculation with PBE-GGA was carried out for a relaxed LiSb3S6 crystal.

```
data_LiSb3S6
_chemical_formula_sum 'Li2 Sb6 S12'
_symmetry_space_group_name_H-M 'P 1 21/m 1'
_symmetry_Int_Tables_number 11
_cell_length_a 9.965
_cell_length_b 3.742
_cell_length_c 13.108
_cell_angle_alpha 90.00
_cell_angle_beta 100.84
_cell_angle_gamma 90.00
loop_
_symmetry_equiv_pos_as_xyz
'x,y,z'
'-x,-y,-z'
'-x,y+1/2,-z'
'x,-y+1/2,z'
loop_
_atom_site_label
_atom_site_type_symbol
_atom_site_fract_x
_atom_site_fract_y
_atom_site_fract_z
Li1 Li 0.045 0.250 0.149
Sb1 Sb 0.131 0.250 0.604
Sb2 Sb 0.306 0.750 0.045
Sb3 Sb 0.427 0.250 0.311
S1 S 0.129 0.250 0.977
S2 S 0.131 0.750 0.455
S3 S 0.135 0.750 0.736
S4 S 0.223 0.750 0.211
S5 S 0.401 0.250 0.607
S6 S 0.499 0.250 0.139
```

## Properties
Total energy, eV per atom: -4.21
Total magnetization, μB per formula unit: 0.00
Mass density, g cm⁻³: 3.906
Energy relative to the elements, uncorrected, eV per atom: -0.30

***

Record 9
A plane-wave DFT calculation with PBE-GGA was carried out for a relaxed Li3SbS4 crystal.

```
data_Li3SbS4
_chemical_formula_sum 'Li3 Sb1 S4'
_symmetry_space_group_name_H-M 'P -4 3 m'
_symmetry_Int_Tables_number 215
_symmetry_space_group_name_Hall 'P -4 2 3'
_cell_length_a 6.188
_cell_length_b 6.188
_cell_length_c 6.188
_cell_angle_alpha 90.00
_cell_angle_beta 90.00
_cell_angle_gamma 90.00
loop_
_atom_site_label
_atom_site_type_symbol
_atom_site_fract_x
_atom_site_fract_y
_atom_site_fract_z
Li1 Li 0.000 0.000 0.500
Sb1 Sb 0.000 0.000 0.000
S1 S 0.219 0.219 0.219
```

## Properties
Total energy, eV per atom: -4.07
Total magnetization, μB per formula unit: 0.00
Mass density, g cm⁻³: 1.898
Energy relative to the elements, uncorrected, eV per atom: -0.78
ΔE to the lowest computed polymorph, eV per atom: 0.0714

***

Record 10
A plane-wave DFT calculation with PBE-GGA was carried out for a relaxed Li3Sb5S12 crystal.

```
data_Li3Sb5S12
_chemical_formula_sum 'Li24 Sb40 S96'
_symmetry_space_group_name_H-M 'I a -3 d'
_symmetry_Int_Tables_number 230
_symmetry_space_group_name_Hall '-I 4bd 2c 3'
_cell_length_a 15.945
_cell_length_b 15.945
_cell_length_c 15.945
_cell_angle_alpha 90.00
_cell_angle_beta 90.00
_cell_angle_gamma 90.00
loop_
_atom_site_label
_atom_site_type_symbol
_atom_site_fract_x
_atom_site_fract_y
_atom_site_fract_z
Li1 Li 0.000 0.250 0.125
Sb1 Sb 0.000 0.000 0.000
Sb2 Sb 0.000 0.250 0.375
S1 S 0.027 0.064 0.655
```

## Properties
Total energy, eV per atom: -4.07
Total magnetization, μB per formula unit: 0.00
Mass density, g cm⁻³: 3.324
Energy relative to the elements, uncorrected, eV per atom: -0.28